[1]
Density functional theory data (PBE) for crystalline Rb2GaF at its relaxed geometry.

Lattice parameters (Å, degrees): 5.8242 5.8242 5.8242 60.00 60.00 60.00
Fractional positions:
Ga (0.5000, 0.5000, 0.5000)
Rb (0.2500, 0.2500, 0.2500)
Rb (0.7500, 0.7500, 0.7500)
F (0.0000, 0.0000, 0.0000)

Output
Fermi-level density of states = 0.89 states/eV per cell
Raw total energy = -2.363 eV/atom
Energy above the most stable polymorph in this dataset = 0.357 eV per atom
E_form (uncorrected) = -655 meV per atom
Total moment = 0.0 μB per formula unit

[2]
Density functional theory data (PBE) for crystalline Ce4Ge12Ir at its relaxed geometry.

Lattice parameters (Å, degrees): 7.5879 7.5879 7.5879 109.47 109.47 109.47
Fractional positions:
Ce (0.0000, 0.0000, 0.5000)
Ce (0.5000, 0.0000, 0.0000)
Ce (0.5000, 0.5000, 0.5000)
Ce (0.0000, 0.5000, 0.0000)
Ge (0.0000, 0.2928, 0.2928)
Ge (0.0000, 0.7072, 0.7072)
Ge (0.7072, 0.7072, 0.0000)
Ge (0.2928, 0.2928, 0.0000)
Ge (0.2928, 0.0000, 0.2928)
Ge (0.7072, 0.0000, 0.7072)
Ge (0.5000, 0.2500, 0.7500)
Ge (0.5000, 0.7500, 0.2500)
Ge (0.7500, 0.2500, 0.5000)
Ge (0.2500, 0.7500, 0.5000)
Ge (0.7500, 0.5000, 0.2500)
Ge (0.2500, 0.5000, 0.7500)
Ir (0.0000, 0.0000, 0.0000)

Output
Fermi-level density of states = 18.92 states/eV per cell
Raw total energy = -5.674 eV/atom
Energy of formation = -0.50 eV per atom
Total moment = 0.0 μB per formula unit

[3]
Density functional theory data (PBE) for crystalline NaAgMo at its relaxed geometry.

Lattice parameters (Å, degrees): 11.2301 5.0478 5.0890 90.00 90.00 90.00
Fractional positions:
Na (0.7500, 0.2500, 0.1762)
Na (0.7500, 0.7500, 0.6762)
Na (0.2500, 0.7500, 0.8238)
Na (0.2500, 0.2500, 0.3238)
Mo (0.4899, 0.2500, 0.9912)
Mo (0.0101, 0.7500, 0.4912)
Mo (0.5101, 0.7500, 0.0088)
Mo (0.9899, 0.2500, 0.5088)
Ag (0.0000, 0.0000, 0.0000)
Ag (0.5000, 0.5000, 0.5000)
Ag (0.5000, 0.0000, 0.5000)
Ag (0.0000, 0.5000, 0.0000)

Output
Fermi-level density of states = 10.77 states/eV per cell
Raw total energy = -4.135 eV/atom
Energy above the most stable polymorph in this dataset = 0.412 eV per atom
Energy of formation = 0.87 eV per atom
Total moment = 0.4 μB per formula unit

[4]
Density functional theory data (PBE) for crystalline HgSb2W at its relaxed geometry.

Lattice parameters (Å, degrees): 2.9961 4.4158 8.5590 90.00 90.00 90.00
Fractional positions:
Hg (0.5000, 0.5000, 0.7627)
Sb (0.0000, 0.0000, 0.0112)
Sb (0.5000, 0.5000, 0.4097)
W (0.0000, 0.0000, 0.3165)

Output
Fermi-level density of states = 2.36 states/eV per cell
Raw total energy = -4.767 eV/atom
E_form (uncorrected) = 608 meV per atom
Total moment = 0.0 μB per formula unit

[5]
Density functional theory data (PBE) for crystalline GaHg3N at its relaxed geometry.

Lattice parameters (Å, degrees): 4.8311 4.8311 4.8311 90.00 90.00 90.00
Fractional positions:
Hg (0.0000, 0.5000, 0.0000)
Hg (0.0000, 0.0000, 0.5000)
Hg (0.5000, 0.0000, 0.0000)
Ga (0.5000, 0.5000, 0.5000)
N (0.0000, 0.0000, 0.0000)

Output
Fermi-level density of states = 3.05 states/eV per cell
Raw total energy = -1.627 eV/atom
Energy above the most stable polymorph in this dataset = 0.000 eV per atom
E_form (uncorrected) = 824 meV per atom
Total moment = 0.0 μB per formula unit

[6]
Density functional theory data (PBE) for crystalline Rh2Pb8Au at its relaxed geometry.

Lattice parameters (Å, degrees): 5.4113 7.6578 7.6578 109.09 98.52 98.52
Fractional positions:
Rh (0.4999, 0.6842, 0.3095)
Rh (0.4999, 0.3095, 0.6842)
Pb (0.4096, 0.9224, 0.6669)
Pb (0.4096, 0.6669, 0.9224)
Pb (0.8135, 0.6230, 0.6230)
Pb (0.0000, 0.2363, 0.7577)
Pb (0.0000, 0.7577, 0.2363)
Pb (0.1865, 0.3709, 0.3709)
Pb (0.5905, 0.3270, 0.0714)
Pb (0.5905, 0.0714, 0.3270)
Au (0.0000, 0.9969, 0.9969)

Output
Fermi-level density of states = 6.25 states/eV per cell
Raw total energy = -4.333 eV/atom
Energy of formation = 0.00 eV per atom
Total moment = 0.0 μB per formula unit

[7]
Density functional theory data (PBE) for crystalline NaLiTl14 at its relaxed geometry.

Lattice parameters (Å, degrees): 6.8067 6.8067 10.7010 90.00 90.00 107.14
Fractional positions:
Na (0.1259, 0.8741, 0.5000)
Li (0.6665, 0.3335, 0.5000)
Tl (0.1242, 0.8758, 0.0000)
Tl (0.6075, 0.3925, 0.0000)
Tl (0.1768, 0.3925, 0.5000)
Tl (0.0945, 0.3602, 0.0000)
Tl (0.6075, 0.8232, 0.5000)
Tl (0.6398, 0.9055, 0.0000)
Tl (0.3975, 0.1562, 0.7353)
Tl (0.3975, 0.1562, 0.2647)
Tl (0.8438, 0.6025, 0.7353)
Tl (0.8438, 0.6025, 0.2647)
Tl (0.3523, 0.6477, 0.7658)
Tl (0.3523, 0.6477, 0.2342)
Tl (0.8850, 0.1150, 0.7314)
Tl (0.8850, 0.1150, 0.2686)

Output
Fermi-level density of states = 7.96 states/eV per cell
Raw total energy = -2.296 eV/atom
Energy of formation = -0.02 eV per atom
Total moment = 0.0 μB per formula unit

[8]
Density functional theory data (PBE) for crystalline TlGeHI2 at its relaxed geometry.

Lattice parameters (Å, degrees): 5.9149 5.7590 5.9149 90.00 90.00 90.00
Fractional positions:
I (0.0000, 0.0000, 0.5000)
I (0.5000, 0.0000, 0.0000)
H (0.5000, 0.5000, 0.5000)
Tl (0.0000, 0.5000, 0.0000)
Ge (0.0000, 0.0000, 0.0000)

Output
Fermi-level density of states = 0.62 states/eV per cell
Raw total energy = -2.355 eV/atom
Energy above the most stable polymorph in this dataset = 0.460 eV per atom
Total moment = 1.0 μB per formula unit